[1]
# CoP2PbCl

A relaxed CoP2PbCl crystal (PBE, Alexandria via LeMat-Bulk).

Cell: 5.246 5.246 5.337 Å, 90.00 90.00 90.00°
Fractional coordinates of all 5 atoms:
1 P 0.500 0.000 0.000
2 Pb 0.000 0.000 0.000
3 P 0.000 0.500 0.000
4 Co 0.500 0.500 0.500
5 Cl 0.000 0.000 0.500

Calculated values
Uncorrected formation energy in meV per atom: 1379
DFT total energy in eV/atom: -3.317
DOS at the Fermi energy in states/eV/cell: 3.35
Symmetry: P4/mmm (123)

***

[2]
# MgCd2In

A relaxed MgCd2In crystal (PBE, Alexandria via LeMat-Bulk).

Cell: 5.583 5.583 5.583 Å, 132.70 132.70 69.12°
Fractional coordinates of all 4 atoms:
1 Mg 0.250 0.750 0.500
2 Cd 0.500 0.500 0.000
3 Cd 0.000 0.000 0.000
4 In 0.750 0.250 0.500

Calculated values
DFT formation energy in meV per atom: -45.6
DFT total energy in eV/atom: -1.586
DOS at the Fermi energy in states/eV/cell: 1.74
Symmetry: I4/mmm (139)

***

[3]
# K5Na2Pb4

A relaxed K5Na2Pb4 crystal (PBE, Alexandria via LeMat-Bulk).

Cell: 6.805 8.798 10.620 Å, 55.72 71.31 67.25°
Fractional coordinates of all 11 atoms:
1 Na 0.774 0.083 0.369
2 Pb 0.233 0.268 0.265
3 Pb 0.404 0.878 0.314
4 Na 0.226 0.917 0.631
5 K 0.365 0.711 0.072
6 K 0.635 0.289 0.928
7 Pb 0.767 0.732 0.735
8 Pb 0.596 0.122 0.686
9 K 0.852 0.711 0.072
10 K 0.148 0.289 0.928
11 K 0.000 0.500 0.500

Calculated values
DFT formation energy in meV per atom: -5.1
DFT total energy in eV/atom: -2.092
DOS at the Fermi energy in states/eV/cell: 6.84
Symmetry: C2/m (12)

***

[4]
# CuBrCl2

A relaxed CuBrCl2 crystal (PBE, Alexandria via LeMat-Bulk).

Cell: 8.767 8.767 7.499 Å, 25.81 25.81 24.44°
Fractional coordinates of all 4 atoms:
1 Cl 0.381 0.381 0.662
2 Cl 0.119 0.119 0.838
3 Br 0.250 0.250 0.250
4 Cu 0.750 0.750 0.750

Calculated values
Uncorrected formation energy in meV per atom: -151
DFT total energy in eV/atom: -2.516
DOS at the Fermi energy in states/eV/cell: 0.82
Symmetry: C2/m (12)

***

[5]
# CdIrOs2

A relaxed CdIrOs2 crystal (PBE, Alexandria via LeMat-Bulk).

Cell: 5.711 5.711 5.711 Å, 152.01 131.38 57.04°
Fractional coordinates of all 4 atoms:
1 Os 0.778 0.278 0.500
2 Ir 0.225 0.725 0.500
3 Os 0.989 0.989 0.000
4 Cd 0.508 0.508 0.000

Calculated values
DFT formation energy in meV per atom: 582.1
DFT total energy in eV/atom: -7.477
DOS at the Fermi energy in states/eV/cell: 3.90
Symmetry: Imm2 (44)

***

[6]
# Y2NbZnCo

A relaxed Y2NbZnCo crystal (PBE, Alexandria via LeMat-Bulk).

Cell: 5.218 4.763 5.218 Å, 90.00 90.00 90.00°
Fractional coordinates of all 5 atoms:
1 Y 0.500 0.000 0.000
2 Co 0.500 0.500 0.500
3 Zn 0.000 0.000 0.000
4 Y 0.000 0.000 0.500
5 Nb 0.000 0.500 0.000

Calculated values
DFT formation energy in meV per atom: 1056.2
DFT total energy in eV/atom: -5.219
DOS at the Fermi energy in states/eV/cell: 10.24
Symmetry: P4/mmm (123)

***

[7]
# DyEr12Sc2

A relaxed DyEr12Sc2 crystal (PBE, Alexandria via LeMat-Bulk).

Cell: 6.584 6.584 24.652 Å, 78.73 78.73 114.44°
Fractional coordinates of all 30 atoms:
1 Er 0.993 0.993 0.806
2 Er 0.401 0.401 0.680
3 Er 0.061 0.561 0.151
4 Er 0.584 0.584 0.933
5 Er 0.803 0.803 0.558
6 Dy 0.000 0.500 0.000
7 Er 0.099 0.099 0.320
8 Er 0.725 0.225 0.420
9 Er 0.697 0.697 0.442
10 Er 0.416 0.416 0.067
11 Sc 0.856 0.356 0.716
12 Er 0.007 0.007 0.194
13 Er 0.303 0.303 0.558
14 Dy 0.500 0.000 0.000
15 Er 0.901 0.901 0.680
16 Er 0.561 0.061 0.151
17 Er 0.084 0.084 0.933
18 Er 0.225 0.725 0.420
19 Er 0.939 0.439 0.849
20 Er 0.599 0.599 0.320
21 Sc 0.356 0.856 0.716
22 Er 0.439 0.939 0.849
23 Er 0.916 0.916 0.067
24 Er 0.493 0.493 0.806
25 Er 0.275 0.775 0.580
26 Er 0.197 0.197 0.442
27 Sc 0.644 0.144 0.284
28 Sc 0.144 0.644 0.284
29 Er 0.507 0.507 0.194
30 Er 0.775 0.275 0.580

Calculated values
DFT formation energy in meV per atom: 91.1
DFT total energy in eV/atom: -4.710
DOS at the Fermi energy in states/eV/cell: 51.99
Symmetry: Cmmm (65)

***

[8]
# MgCuTe

A relaxed MgCuTe crystal (PBE, Alexandria via LeMat-Bulk).

Cell: 6.416 6.257 3.309 Å, 77.53 72.23 30.24°
Fractional coordinates of all 3 atoms:
1 Cu 0.006 0.006 0.994
2 Te 0.353 0.353 0.647
3 Mg 0.642 0.642 0.358

Calculated values
Uncorrected formation energy in meV per atom: 80
DFT total energy in eV/atom: -2.864
DOS at the Fermi energy in states/eV/cell: 0.50
Symmetry: Fmm2 (42)

***

[9]
# Sc4GaCuRh2

A relaxed Sc4GaCuRh2 crystal (PBE, Alexandria via LeMat-Bulk).

Cell: 4.631 4.631 8.034 Å, 73.25 73.25 60.00°
Fractional coordinates of all 8 atoms:
1 Cu 0.500 0.500 0.500
2 Rh 0.750 0.750 0.751
3 Rh 0.250 0.250 0.249
4 Sc 0.622 0.622 0.133
5 Ga 0.000 0.000 0.000
6 Sc 0.873 0.873 0.382
7 Sc 0.378 0.378 0.867
8 Sc 0.127 0.127 0.618

Calculated values
DFT formation energy in meV per atom: -711.8
DFT total energy in eV/atom: -6.606
DOS at the Fermi energy in states/eV/cell: 5.14
Symmetry: R-3m (166)

***

[10]
# Tl2InRe

A relaxed Tl2InRe crystal (PBE, Alexandria via LeMat-Bulk).

Cell: 5.469 3.044 5.364 Å, 91.37 90.00 90.00°
Fractional coordinates of all 4 atoms:
1 Tl 0.000 0.522 0.506
2 Re 0.500 0.750 0.750
3 In 0.500 0.250 0.250
4 Tl 0.000 0.978 0.994

Calculated values
DFT formation energy in meV per atom: 875.0
DFT total energy in eV/atom: -4.105
DOS at the Fermi energy in states/eV/cell: 2.12
Symmetry: P2/m (10)

***

[11]
# Na3CoN4

A relaxed Na3CoN4 crystal (PBE, Alexandria via LeMat-Bulk).

Cell: 4.052 3.983 6.760 Å, 107.06 107.44 90.00°
Fractional coordinates of all 8 atoms:
1 Na 0.189 0.189 0.378
2 Na 0.000 0.500 0.000
3 N 0.613 0.450 0.225
4 N 0.387 0.226 0.775
5 N 0.613 0.774 0.225
6 N 0.387 0.550 0.775
7 Na 0.811 0.811 0.622
8 Co 0.500 0.000 0.000

Calculated values
Uncorrected formation energy in meV per atom: 2
DFT total energy in eV/atom: -5.543
DOS at the Fermi energy in states/eV/cell: 5.11
Symmetry: C2/m (12)

***

[12]
# MgTaRe

A relaxed MgTaRe crystal (PBE, Alexandria via LeMat-Bulk).

Cell: 7.242 7.242 7.242 Å, 158.30 158.30 30.87°
Fractional coordinates of all 3 atoms:
1 Mg 0.994 0.994 0.000
2 Re 0.335 0.335 0.000
3 Ta 0.671 0.671 0.000

Calculated values
DFT formation energy in meV per atom: 394.5
DFT total energy in eV/atom: -8.237
DOS at the Fermi energy in states/eV/cell: 2.31
Symmetry: I4mm (107)

***

Among the records above, which one has the lowest DOS at the Fermi energy? MgCuTe